(1)
Material: CsKSb
Method: DFT, PBE
State: optimized geometry Values from VASP.

```
&SYSTEM
  ibrav = 0, nat = 3, ntyp = 3
/
ATOMIC_SPECIES
K 39.10 K.upf
Sb 121.76 Sb.upf
Cs 132.91 Cs.upf
CELL_PARAMETERS angstrom
3.677 0.000 0.000
0.000 6.114 0.000
0.000 -3.057 5.295
ATOMIC_POSITIONS angstrom
K 1.763 3.057 1.765
Sb 0.019 0.000 0.000
Cs 1.895 0.000 3.530
```

E_form (uncorrected) in meV/atom: -286
Calculated volume in Å³/atom: 39.683
DOS at the Fermi energy in states/eV/atom: 0.389
DFT total energy in eV per atom: -2.310
SG: No. 156

=====

(2)
Material: CsKSb3
Method: DFT, PBE
State: optimized geometry Values from VASP.

```
&SYSTEM
  ibrav = 0, nat = 5, ntyp = 3
/
ATOMIC_SPECIES
Sb 121.76 Sb.upf
K 39.10 K.upf
Cs 132.91 Cs.upf
CELL_PARAMETERS angstrom
6.113 0.000 0.000
0.000 6.113 0.000
0.000 0.000 6.113
ATOMIC_POSITIONS angstrom
Sb 0.000 3.057 0.000
K 0.000 0.000 0.000
Sb 3.057 0.000 0.000
Cs 3.057 3.057 3.057
Sb 0.000 0.000 3.057
```

E_form (uncorrected) in meV/atom: 622
Calculated volume in Å³/atom: 45.694
DOS at the Fermi energy in states/eV/atom: 1.454
DFT total energy in eV per atom: -2.242
SG: No. 221

=====

(3)
Material: CsKSb
Method: DFT, PBE
State: optimized geometry Values from VASP.

```
&SYSTEM
  ibrav = 0, nat = 12, ntyp = 3
/
ATOMIC_SPECIES
K 39.10 K.upf
Sb 121.76 Sb.upf
Cs 132.91 Cs.upf
CELL_PARAMETERS angstrom
-5.098 -9.017 -2.517
6.726 -3.482 -1.149
1.471 -2.678 6.614
ATOMIC_POSITIONS angstrom
K 3.642 -5.183 1.849
K -0.839 -7.878 -1.992
Sb 0.579 -13.265 2.274
Cs 1.549 -3.482 4.467
Cs 1.550 -11.696 -1.520
Sb 2.520 -1.912 0.673
Cs 3.736 -10.471 2.502
Sb 2.150 -7.846 0.106
Cs -0.637 -4.706 0.445
Sb 0.949 -7.331 2.841
K -0.543 -9.995 1.098
K 3.938 -7.299 4.939
```

E_form (uncorrected) in meV/atom: -385
Calculated volume in Å³/atom: 48.492
DOS at the Fermi energy in states/eV/atom: 0.326
DFT total energy in eV per atom: -2.410
SG: No. 14

=====

(4)
Material: CsKSb3
Method: DFT, PBE
State: optimized geometry Values from VASP.

```
&SYSTEM
  ibrav = 0, nat = 10, ntyp = 3
/
ATOMIC_SPECIES
Sb 121.76 Sb.upf
Cs 132.91 Cs.upf
K 39.10 K.upf
CELL_PARAMETERS angstrom
4.129 0.000 -1.156
-0.337 8.134 -1.205
1.211 2.979 12.274
ATOMIC_POSITIONS angstrom
Sb 5.068 4.490 10.147
Sb -0.065 6.622 -0.234
Cs 0.975 6.333 3.480
Sb 2.215 4.859 -0.040
Sb 1.433 2.120 5.117
Cs 4.028 4.779 6.433
Sb 3.569 8.993 4.796
Sb 2.787 6.253 9.953
K 2.339 9.697 8.351
K 2.664 1.416 1.562
```

E_form (uncorrected) in meV/atom: -319
Calculated volume in Å³/atom: 43.953
DOS at the Fermi energy in states/eV/atom: 0.183
DFT total energy in eV per atom: -3.182
SG: No. 12

=====

Sequential excess energy over the best structure of this formula in the dataset output: 100; 940; 0; 0 meV per atom